1.
Compound: Li2CuAs
Source: the Alexandria database
Functional: PBEsol
Structure: relaxed

- Energy relative to the elements: -515 meV/atom
- SG: No. 194
- Mass density: 4.4 Mg/m³

a = 4.1216 Å, b = 4.1216 Å, c = 7.8852 Å
α = 90.00°, β = 90.00°, γ = 120.00°
Sites, in units of the cell vectors:
Li 0.3333 0.6667 0.0850
Li 0.3333 0.6667 0.4150
Li 0.6667 0.3333 0.5850
Li 0.6667 0.3333 0.9150
Cu 0.0000 0.0000 0.2500
Cu 0.0000 0.0000 0.7500
As 0.3333 0.6667 0.7500
As 0.6667 0.3333 0.2500

---

2.
Compound: LiCuAs
Source: the Alexandria database
Functional: PBEsol
Structure: relaxed

- Energy relative to the elements: -41 meV/atom
- SG: No. 107
- Mass density: 5.5 Mg/m³

a = 6.0595 Å, b = 6.0595 Å, c = 6.0595 Å
α = 153.63°, β = 153.63°, γ = 37.63°
Sites, in units of the cell vectors:
Li 0.0000 0.0000 0.0000
Cu 0.3353 0.3353 0.0000
As 0.6782 0.6782 0.0000

---

3.
Compound: Li2CuAs
Source: the Alexandria database
Functional: PBEsol
Structure: relaxed

- Energy relative to the elements: -92 meV/atom
- SG: No. 122
- Mass density: 4.2 Mg/m³

a = 5.5831 Å, b = 5.5831 Å, c = 5.5831 Å
α = 100.42°, β = 100.42°, γ = 129.67°
Sites, in units of the cell vectors:
Li 0.1230 0.1250 0.4980
Li 0.3750 0.8770 0.0020
Li 0.6270 0.6250 0.5020
Li 0.8750 0.3730 0.9980
Cu 0.2500 0.7500 0.5000
Cu 0.5000 0.5000 0.0000
As 0.0000 0.0000 0.0000
As 0.7500 0.2500 0.5000

---

4.
Compound: LiCuAs
Source: the Alexandria database
Functional: PBEsol
Structure: relaxed

- Energy relative to the elements: -346 meV/atom
- SG: No. 187
- Mass density: 5.6 Mg/m³

a = 4.0955 Å, b = 4.0955 Å, c = 2.9856 Å
α = 90.00°, β = 90.00°, γ = 120.00°
Sites, in units of the cell vectors:
Li 0.0000 0.0000 0.0000
Cu 0.3333 0.6667 0.5000
As 0.6667 0.3333 0.5000

---

5.
Compound: Li3CuAs
Source: the Alexandria database
Functional: PBEsol
Structure: relaxed

- Energy relative to the elements: 93 meV/atom
- SG: No. 221
- Mass density: 2.6 Mg/m³

a = 4.6762 Å, b = 4.6762 Å, c = 4.6762 Å
α = 90.00°, β = 90.00°, γ = 90.00°
Sites, in units of the cell vectors:
Li 0.0000 0.0000 0.5000
Li 0.0000 0.5000 0.0000
Li 0.5000 0.0000 0.0000
Cu 0.5000 0.5000 0.5000
As 0.0000 0.0000 0.0000

---

6.
Compound: Li2CuAs2
Source: the Alexandria database
Functional: PBEsol
Structure: relaxed

- Energy relative to the elements: -408 meV/atom
- SG: No. 127
- Mass density: 4.7 Mg/m³

a = 6.2406 Å, b = 6.2406 Å, c = 4.1509 Å
α = 90.00°, β = 90.00°, γ = 90.00°
Sites, in units of the cell vectors:
Li 0.1658 0.3342 0.0000
Li 0.3342 0.8342 0.0000
Li 0.6658 0.1658 0.0000
Li 0.8342 0.6658 0.0000
Cu 0.0000 0.0000 0.5000
Cu 0.5000 0.5000 0.5000
As 0.1416 0.6416 0.5000
As 0.3584 0.1416 0.5000
As 0.6416 0.8584 0.5000
As 0.8584 0.3584 0.5000

---

7.
Compound: LiCuAs
Source: the Alexandria database
Functional: PBEsol
Structure: relaxed

- Energy relative to the elements: -315 meV/atom
- SG: No. 216
- Mass density: 5.4 Mg/m³

a = 3.9743 Å, b = 3.9743 Å, c = 3.9743 Å
α = 60.00°, β = 60.00°, γ = 60.00°
Sites, in units of the cell vectors:
Li 0.0000 0.0000 0.0000
Cu 0.2500 0.2500 0.2500
As 0.5000 0.5000 0.5000

---

8.
Compound: LiCuAsSe2
Source: the Alexandria database
Functional: PBEsol
Structure: relaxed

- SG: No. 123
- Mass density: 4.7 Mg/m³
- Raw formation energy: 0.14 eV per atom

a = 4.9184 Å, b = 4.9184 Å, c = 4.4726 Å
α = 90.00°, β = 90.00°, γ = 90.00°
Sites, in units of the cell vectors:
Li 0.0000 0.0000 0.0000
Cu 0.5000 0.5000 0.5000
As 0.5000 0.5000 0.0000
Se 0.0000 0.5000 0.5000
Se 0.5000 0.0000 0.5000

---

9.
Compound: LuCuAs2
Source: the Alexandria database
Functional: PBEsol
Structure: relaxed

- Energy relative to the elements: -813 meV/atom
- SG: No. 129
- Mass density: 9.3 Mg/m³

a = 3.8160 Å, b = 3.8160 Å, c = 9.5127 Å
α = 90.00°, β = 90.00°, γ = 90.00°
Sites, in units of the cell vectors:
Lu 0.2500 0.2500 0.2376
Lu 0.7500 0.7500 0.7624
Cu 0.2500 0.7500 0.5000
Cu 0.7500 0.2500 0.5000
As 0.2500 0.2500 0.6665
As 0.2500 0.7500 0.0000
As 0.7500 0.2500 0.0000
As 0.7500 0.7500 0.3335

---

10.
Compound: MgCu2As
Source: the Alexandria database
Functional: PBEsol
Structure: relaxed

- Energy relative to the elements: -43 meV/atom
- SG: No. 119
- Mass density: 6.6 Mg/m³

a = 4.7714 Å, b = 4.7714 Å, c = 4.7714 Å
α = 133.03°, β = 133.03°, γ = 68.60°
Sites, in units of the cell vectors:
Mg 0.0000 0.0000 0.0000
Cu 0.2500 0.7500 0.5000
Cu 0.5000 0.5000 0.0000
As 0.7500 0.2500 0.5000

---

11.
Compound: MgCu2As
Source: the Alexandria database
Functional: PBEsol
Structure: relaxed

- Energy relative to the elements: -72 meV/atom
- SG: No. 47
- Mass density: 6.3 Mg/m³

a = 2.9319 Å, b = 4.0989 Å, c = 4.9829 Å
α = 90.00°, β = 90.00°, γ = 90.00°
Sites, in units of the cell vectors:
Mg 0.0000 0.0000 0.0000
Cu 0.5000 0.5000 0.2397
Cu 0.5000 0.5000 0.7603
As 0.5000 0.0000 0.5000

---

12.
Compound: MgCuAs
Source: the Alexandria database
Functional: PBEsol
Structure: relaxed

- Energy relative to the elements: -370 meV/atom
- SG: No. 62
- Mass density: 5.6 Mg/m³

a = 13.3850 Å, b = 3.9439 Å, c = 7.2933 Å
α = 90.00°, β = 90.00°, γ = 90.00°
Sites, in units of the cell vectors:
Mg 0.1083 0.2500 0.0575
Mg 0.1407 0.7500 0.6729
Mg 0.3593 0.2500 0.1729
Mg 0.3917 0.7500 0.5575
Mg 0.6083 0.2500 0.4425
Mg 0.6407 0.7500 0.8271
Mg 0.8593 0.2500 0.3271
Mg 0.8917 0.7500 0.9425
Cu 0.0656 0.2500 0.4310
Cu 0.1864 0.7500 0.3012
Cu 0.3136 0.2500 0.8012
Cu 0.4344 0.7500 0.9310
Cu 0.5656 0.2500 0.0690
Cu 0.6864 0.7500 0.1988
Cu 0.8136 0.2500 0.6988
Cu 0.9344 0.7500 0.5690
As 0.0009 0.7500 0.2485
As 0.2480 0.7500 0.9793
As 0.2520 0.2500 0.4793
As 0.4991 0.2500 0.7485
As 0.5009 0.7500 0.2515
As 0.7480 0.7500 0.5207
As 0.7520 0.2500 0.0207
As 0.9991 0.2500 0.7515

---

13.
Compound: MgCu2As
Source: the Alexandria database
Functional: PBEsol
Structure: relaxed

- Energy relative to the elements: 76 meV/atom
- SG: No. 12
- Mass density: 6.4 Mg/m³

a = 5.3059 Å, b = 5.3059 Å, c = 2.7349 Å
α = 104.78°, β = 104.78°, γ = 118.90°
Sites, in units of the cell vectors:
Mg 0.0000 0.0000 0.0000
Cu 0.0000 0.5000 0.0000
Cu 0.5000 0.0000 0.0000
As 0.5000 0.5000 0.0000

---

14.
Compound: MgCuAs
Source: the Alexandria database
Functional: PBEsol
Structure: relaxed

- Energy relative to the elements: -60 meV/atom
- SG: No. 107
- Mass density: 5.5 Mg/m³

a = 4.5481 Å, b = 4.5481 Å, c = 4.5481 Å
α = 133.10°, β = 133.10°, γ = 68.50°
Sites, in units of the cell vectors:
Mg 0.0000 0.0000 0.0000
Cu 0.3339 0.3339 0.0000
As 0.6583 0.6583 0.0000

---

15.
Compound: MgCuAs2
Source: the Alexandria database
Functional: PBEsol
Structure: relaxed

- Energy relative to the elements: -59 meV/atom
- SG: No. 122
- Mass density: 5.1 Mg/m³

a = 8.3633 Å, b = 8.3633 Å, c = 8.3633 Å
α = 149.03°, β = 149.03°, γ = 44.36°
Sites, in units of the cell vectors:
Mg 0.0000 0.0000 0.0000
Mg 0.7500 0.2500 0.5000
Cu 0.2500 0.7500 0.5000
Cu 0.5000 0.5000 0.0000
As 0.1801 0.6250 0.0551
As 0.3750 0.4301 0.5551
As 0.5699 0.1250 0.9449
As 0.8750 0.8199 0.4449

---

16.
Compound: MgCuAs2
Source: the Alexandria database
Functional: PBEsol
Structure: relaxed

- Energy relative to the elements: 12 meV/atom
- SG: No. 99
- Mass density: 5.7 Mg/m³

a = 3.5741 Å, b = 3.5741 Å, c = 5.3835 Å
α = 90.00°, β = 90.00°, γ = 90.00°
Sites, in units of the cell vectors:
Mg 0.0000 0.0000 0.0000
Cu 0.5000 0.5000 0.6284
As 0.0000 0.0000 0.5166
As 0.5000 0.5000 0.1622

---

17.
Compound: MgCuAs
Source: the Alexandria database
Functional: PBEsol
Structure: relaxed

- Energy relative to the elements: -366 meV/atom
- SG: No. 129
- Mass density: 5.6 Mg/m³

a = 3.9469 Å, b = 3.9469 Å, c = 6.2300 Å
α = 90.00°, β = 90.00°, γ = 90.00°
Sites, in units of the cell vectors:
Mg 0.2500 0.2500 0.1798
Mg 0.7500 0.7500 0.8202
Cu 0.2500 0.7500 0.5000
Cu 0.7500 0.2500 0.5000
As 0.2500 0.2500 0.7525
As 0.7500 0.7500 0.2475

---

18.
Compound: MgCuAs2O7
Source: the Alexandria database
Functional: PBEsol
Structure: relaxed

- SG: No. 14
- Mass density: 4.4 Mg/m³
- Raw formation energy: -1.38 eV per atom

a = 7.1180 Å, b = 8.4455 Å, c = 9.6130 Å
α = 90.00°, β = 113.25°, γ = 90.00°
Sites, in units of the cell vectors:
Mg 0.2366 0.0680 0.1090
Mg 0.2366 0.4320 0.6090
Mg 0.7634 0.5680 0.3910
Mg 0.7634 0.9320 0.8910
Cu 0.2960 0.0632 0.6660
Cu 0.2960 0.4368 0.1660
Cu 0.7040 0.5632 0.8340
Cu 0.7040 0.9368 0.3340
As 0.0476 0.7346 0.7340
As 0.0476 0.7654 0.2340
As 0.4646 0.7228 0.0333
As 0.4646 0.7772 0.5333
As 0.5354 0.2228 0.4667
As 0.5354 0.2772 0.9667
As 0.9524 0.2346 0.7660
As 0.9524 0.2654 0.2660
O 0.0178 0.5976 0.5990
O 0.0178 0.9024 0.0990
O 0.1102 0.5832 0.1977
O 0.1102 0.9168 0.6977
O 0.1587 0.2446 0.7162
O 0.1587 0.2554 0.2162
O 0.2335 0.6479 0.8984
O 0.2335 0.8521 0.3984
O 0.3637 0.2321 0.5506
O 0.3637 0.2679 0.0506
O 0.4355 0.5992 0.5990
O 0.4355 0.9008 0.0990
O 0.4903 0.0744 0.3362
O 0.4903 0.4256 0.8362
O 0.5097 0.5744 0.1638
O 0.5097 0.9256 0.6638
O 0.5645 0.0992 0.9010
O 0.5645 0.4008 0.4010
O 0.6363 0.7321 0.9494
O 0.6363 0.7679 0.4494
O 0.7665 0.1479 0.6016
O 0.7665 0.3521 0.1016
O 0.8413 0.7446 0.7838
O 0.8413 0.7554 0.2838
O 0.8898 0.0832 0.3023
O 0.8898 0.4168 0.8023
O 0.9822 0.0976 0.9010
O 0.9822 0.4024 0.4010

---

19.
Compound: Mg2CuAsRh
Source: the Alexandria database
Functional: PBEsol
Structure: relaxed

- Energy relative to the elements: 555 meV/atom
- SG: No. 123
- Mass density: 4.7 Mg/m³

a = 4.8487 Å, b = 4.8487 Å, c = 4.3173 Å
α = 90.00°, β = 90.00°, γ = 90.00°
Sites, in units of the cell vectors:
Mg 0.0000 0.5000 0.0000
Mg 0.5000 0.0000 0.0000
Cu 0.0000 0.0000 0.5000
As 0.0000 0.0000 0.0000
Rh 0.5000 0.5000 0.5000

---

20.
Compound: Y2MgCuAs
Source: the Alexandria database
Functional: PBEsol
Structure: relaxed

- Energy relative to the elements: 690 meV/atom
- SG: No. 123
- Mass density: 4.2 Mg/m³

a = 5.4343 Å, b = 5.4343 Å, c = 4.5934 Å
α = 90.00°, β = 90.00°, γ = 90.00°
Sites, in units of the cell vectors:
Y 0.0000 0.5000 0.0000
Y 0.5000 0.0000 0.0000
Mg 0.0000 0.0000 0.0000
Cu 0.5000 0.5000 0.5000
As 0.0000 0.0000 0.5000